No. 1
{
  "formula": "Y3NpTe6",
  "functional": "PBE-GGA",
  "state": "optimized geometry",
  "lattice_angstrom": [[4.359, 0.000, 0.000], [0.000, 11.816, -4.115], [0.000, -0.043, 12.799]],
  "species": ["Np", "Np", "Y", "Y", "Y", "Y", "Y", "Y", "Te", "Te", "Te", "Te", "Te", "Te", "Te", "Te", "Te", "Te", "Te", "Te"],
  "fractional_positions": [[0.250, 0.954, 0.306], [0.750, 0.046, 0.694], [0.250, 0.568, 0.165], [0.750, 0.154, 0.079], [0.750, 0.432, 0.835], [0.250, 0.318, 0.498], [0.250, 0.846, 0.921], [0.750, 0.682, 0.502], [0.250, 0.608, 0.938], [0.750, 0.392, 0.062], [0.750, 0.484, 0.619], [0.250, 0.084, 0.898], [0.250, 0.253, 0.721], [0.750, 0.916, 0.102], [0.250, 0.886, 0.535], [0.750, 0.114, 0.465], [0.750, 0.747, 0.279], [0.250, 0.516, 0.381], [0.750, 0.808, 0.750], [0.250, 0.192, 0.250]],
  "spacegroup": "P2_1/m (11)",
  "final_energy_ev_per_atom": -6.328,
  "dos_at_fermi_per_ev_cell": 14.01
}



No. 2
{
  "formula": "ZrNpTe2",
  "functional": "PBE-GGA",
  "state": "optimized geometry",
  "lattice_angstrom": [[-0.179, 1.145, -3.440], [3.393, -1.160, -0.563], [-2.639, -6.704, -2.094]],
  "species": ["Zr", "Np", "Te", "Te"],
  "fractional_positions": [[0.500, 0.500, 0.000], [0.500, 0.500, 0.500], [0.000, 0.000, 0.231], [0.000, 0.000, 0.769]],
  "de_polymorph_ev_per_fu": 0.00,
  "spacegroup": "P4/mmm (123)",
  "final_energy_ev_per_atom": -7.549,
  "dos_at_fermi_per_ev_cell": 6.86
}



No. 3
{
  "formula": "ZrNpTe2",
  "functional": "PBE-GGA",
  "state": "optimized geometry",
  "lattice_angstrom": [[-0.962, -0.509, 3.637], [-0.209, -3.509, 1.435], [9.191, -0.844, 4.294]],
  "species": ["Te", "Te", "Zr", "Np"],
  "fractional_positions": [[0.906, 0.906, 0.283], [0.094, 0.094, 0.717], [0.000, 0.000, 0.000], [0.500, 0.500, 0.500]],
  "de_polymorph_ev_per_fu": 2.40,
  "spacegroup": "R-3m (166)",
  "final_energy_ev_per_atom": -6.950,
  "dos_at_fermi_per_ev_cell": 9.97
}



No. 4
{
  "formula": "ZrNpTe4",
  "functional": "PBE-GGA",
  "state": "optimized geometry",
  "lattice_angstrom": [[-2.815, 0.014, 3.059], [3.617, -5.286, 3.352], [2.768, 6.723, 2.516]],
  "species": ["Zr", "Te", "Te", "Te", "Te", "Np"],
  "fractional_positions": [[0.000, 0.500, 0.500], [0.000, 0.739, 0.256], [0.500, 0.735, 0.738], [0.000, 0.261, 0.744], [0.500, 0.265, 0.262], [0.500, 0.000, 0.500]],
  "spacegroup": "P2/m (10)",
  "final_energy_ev_per_atom": -6.365,
  "dos_at_fermi_per_ev_cell": 7.90
}



No. 5
{
  "formula": "Th3Np",
  "functional": "PBE-GGA",
  "state": "optimized geometry",
  "lattice_angstrom": [[4.919, 0.000, 0.000], [0.000, 4.919, 0.000], [0.000, 0.000, 4.919]],
  "species": ["Th", "Th", "Th", "Np"],
  "fractional_positions": [[0.500, 0.000, 0.500], [0.500, 0.500, 0.000], [0.000, 0.500, 0.500], [0.000, 0.000, 0.000]],
  "spacegroup": "Pm-3m (221)",
  "final_energy_ev_per_atom": -8.537,
  "ef_ev_per_fu": 1.05,
  "dos_at_fermi_per_ev_cell": 12.50
}



No. 6
{
  "formula": "Th5Np",
  "functional": "PBE-GGA",
  "state": "optimized geometry",
  "lattice_angstrom": [[3.495, 0.000, 0.000], [0.000, 5.870, 0.000], [0.000, -2.935, 8.959]],
  "species": ["Th", "Th", "Th", "Th", "Th", "Np"],
  "fractional_positions": [[0.500, 0.853, 0.706], [0.500, 0.147, 0.294], [0.000, 0.322, 0.645], [0.500, 0.500, 0.000], [0.000, 0.678, 0.355], [0.000, 0.000, 0.000]],
  "spacegroup": "Cmmm (65)",
  "final_energy_ev_per_atom": -8.097,
  "ef_ev_per_fu": 1.46,
  "dos_at_fermi_per_ev_cell": 14.03
}



No. 7
{
  "formula": "ThNp4",
  "functional": "PBE-GGA",
  "state": "optimized geometry",
  "lattice_angstrom": [[5.460, 0.000, 0.000], [0.000, 5.460, 0.000], [0.000, 0.000, 5.460]],
  "species": ["Np", "Np", "Np", "Np", "Th"],
  "fractional_positions": [[0.000, 0.000, 0.000], [0.500, 0.500, 0.000], [0.500, 0.000, 0.500], [0.000, 0.500, 0.500], [0.500, 0.500, 0.500]],
  "spacegroup": "Pm-3m (221)",
  "final_energy_ev_per_atom": -10.075,
  "ef_ev_per_fu": 8.81,
  "dos_at_fermi_per_ev_cell": 26.10
}



No. 8
{
  "formula": "ThNpTi2",
  "functional": "PBE-GGA",
  "state": "optimized geometry",
  "lattice_angstrom": [[-2.468, -1.351, 1.892], [-1.177, -1.654, -2.715], [4.556, -5.983, 1.671]],
  "species": ["Th", "Ti", "Ti", "Np"],
  "fractional_positions": [[0.500, 0.500, 0.500], [0.000, 0.000, 0.200], [0.000, 0.000, 0.800], [0.500, 0.500, 0.000]],
  "spacegroup": "P4/mmm (123)",
  "final_energy_ev_per_atom": -8.696,
  "ef_ev_per_fu": 1.37,
  "dos_at_fermi_per_ev_cell": 8.39
}